# 1
First-principles (PBE-GGA) data for a relaxed VSiMo2 crystal, as listed in Alexandria via LeMat-Bulk.

The calculation puts the uncorrected formation energy at 0.479 eV per atom. Its density of states at the Fermi level is 15.6 states/eV per cell.

The structure belongs to space group I-42d (No. 122); the cell edges are 6.702, 6.702 and 5.545 Å and the angles 90.00°, 90.00° and 90.00°. Symmetry generates all atoms from V at (0.000, 0.000, 0.000), Si at (0.000, 0.000, 0.500) and Mo at (0.243, 0.250, 0.625).

# 2
First-principles (PBE-GGA) data for a relaxed VSi2Mo crystal, as listed in Alexandria via LeMat-Bulk.

The calculation puts the uncorrected formation energy at 0.225 eV per atom. Its density of states at the Fermi level is 13.9 states/eV per cell.

The structure belongs to space group I-42d (No. 122); the cell edges are 6.606, 6.606 and 5.484 Å and the angles 90.00°, 90.00° and 90.00°. Symmetry generates all atoms from V at (0.000, 0.000, 0.000), Si at (0.244, 0.750, 0.125) and Mo at (0.000, 0.000, 0.500).

# 3
First-principles (PBE-GGA) data for a relaxed VSiMoW crystal, as listed in Alexandria via LeMat-Bulk.

The calculation puts the uncorrected formation energy at -0.096 eV per atom. Its density of states at the Fermi level is 17.0 states/eV per cell.

The structure belongs to space group F-43m (No. 216); the cell edges are 6.148, 6.148 and 6.148 Å and the angles 90.00°, 90.00° and 90.00°. Symmetry generates all atoms from V at (0.000, 0.000, 0.000), Si at (0.250, 0.250, 0.750), Mo at (0.000, 0.000, 0.500) and W at (0.250, 0.250, 0.250).

Question: Among the records above, which one has the highest uncorrected formation energy?
Answer: VSiMo2